Record 1
The following is a PBE-GGA calculation of a geometry-optimized HfPb2Br structure, from Alexandria via LeMat-Bulk.

a = 11.740 Å, b = 11.740 Å, c = 11.740 Å
α = 158.08°, β = 158.08°, γ = 31.20°
Fractional positions:
Hf: 0.000 0.000 0.000
Hf: 0.750 0.250 0.500
Pb: 0.111 0.625 0.986
Pb: 0.375 0.361 0.486
Pb: 0.639 0.125 0.014
Pb: 0.875 0.889 0.514
Br: 0.250 0.750 0.500
Br: 0.500 0.500 0.000

Properties
E_form (uncorrected): 1.53 eV per formula unit
SG: I-42d
relative energy among the computed polymorphs: 0.0000 eV per atom


Record 2
The following is a PBE-GGA calculation of a geometry-optimized BeTcP3 structure, from Alexandria via LeMat-Bulk.

a = 4.168 Å, b = 4.168 Å, c = 4.168 Å
α = 90.00°, β = 90.00°, γ = 90.00°
Fractional positions:
Be: 0.000 0.000 0.000
Tc: 0.500 0.500 0.500
P: 0.000 0.000 0.500
P: 0.000 0.500 0.000
P: 0.500 0.000 0.000

Properties
ΔH_f (0 K): 4.6 eV/f.u.
SG: Pm-3m
relative energy among the computed polymorphs: 0.0000 eV per atom


Record 3
The following is a PBE-GGA calculation of a geometry-optimized Ta3CuPd structure, from Alexandria via LeMat-Bulk.

a = 4.604 Å, b = 4.604 Å, c = 4.604 Å
α = 90.00°, β = 90.00°, γ = 90.00°
Fractional positions:
Ta: 0.000 0.000 0.500
Ta: 0.000 0.500 0.000
Ta: 0.500 0.000 0.000
Cu: 0.000 0.000 0.000
Pd: 0.500 0.500 0.500

Properties
ΔH_f (0 K): 5.9 eV/f.u.
SG: Pm-3m
relative energy among the computed polymorphs: 0.0000 eV per atom


Record 4
The following is a PBE-GGA calculation of a geometry-optimized K2NiW structure, from Alexandria via LeMat-Bulk.

a = 2.732 Å, b = 5.457 Å, c = 5.799 Å
α = 90.00°, β = 90.00°, γ = 90.00°
Fractional positions:
K: 0.000 0.246 0.000
K: 0.000 0.754 0.000
Ni: 0.500 0.000 0.500
W: 0.500 0.500 0.500

Properties
ΔH_f (0 K): 6.0 eV/f.u.
SG: Pmmm
relative energy among the computed polymorphs: 0.6542 eV per atom


Record 5
The following is a PBE-GGA calculation of a geometry-optimized Na2Ho2AuO6 structure, from Alexandria via LeMat-Bulk.

a = 5.842 Å, b = 5.842 Å, c = 5.867 Å
α = 97.35°, β = 97.35°, γ = 120.97°
Fractional positions:
Na: 0.153 0.847 0.000
Na: 0.847 0.153 0.000
Ho: 0.335 0.665 0.500
Ho: 0.665 0.335 0.500
Au: 0.000 0.000 0.500
O: 0.045 0.386 0.705
O: 0.247 0.247 0.303
O: 0.386 0.045 0.705
O: 0.614 0.955 0.295
O: 0.753 0.753 0.697
O: 0.955 0.614 0.295

Properties
E_form (uncorrected): -21.69 eV per formula unit
SG: C2/m


Record 6
The following is a PBE-GGA calculation of a geometry-optimized CoPbBr2 structure, from Alexandria via LeMat-Bulk.

a = 3.712 Å, b = 3.712 Å, c = 9.120 Å
α = 90.00°, β = 90.00°, γ = 122.35°
Fractional positions:
Co: 0.000 0.000 0.000
Pb: 0.000 0.000 0.500
Br: 0.500 0.500 0.188
Br: 0.500 0.500 0.812

Properties
E_form (uncorrected): 0.00 eV per formula unit
SG: Cmmm
relative energy among the computed polymorphs: 0.1813 eV per atom


Record 7
The following is a PBE-GGA calculation of a geometry-optimized CoRh2Cl structure, from Alexandria via LeMat-Bulk.

a = 5.501 Å, b = 5.501 Å, c = 5.501 Å
α = 103.88°, β = 103.88°, γ = 121.35°
Fractional positions:
Co: 0.000 0.000 0.000
Co: 0.750 0.250 0.500
Rh: 0.110 0.625 0.985
Rh: 0.375 0.360 0.485
Rh: 0.640 0.125 0.015
Rh: 0.875 0.890 0.515
Cl: 0.250 0.750 0.500
Cl: 0.500 0.500 0.000

Properties
E_form (uncorrected): 2.75 eV per formula unit
SG: I-42d
relative energy among the computed polymorphs: 0.4386 eV per atom


Record 8
The following is a PBE-GGA calculation of a geometry-optimized Hf6ReBi2 structure, from Alexandria via LeMat-Bulk.

a = 5.699 Å, b = 7.469 Å, c = 11.239 Å
α = 90.00°, β = 120.27°, γ = 90.00°
Fractional positions:
Hf: 0.099 0.043 0.243
Hf: 0.099 0.457 0.743
Hf: 0.150 0.711 0.035
Hf: 0.150 0.789 0.535
Hf: 0.390 0.162 0.028
Hf: 0.390 0.338 0.528
Hf: 0.610 0.662 0.472
Hf: 0.610 0.838 0.972
Hf: 0.850 0.211 0.465
Hf: 0.850 0.289 0.965
Hf: 0.901 0.543 0.257
Hf: 0.901 0.957 0.757
Re: 0.500 0.000 0.500
Re: 0.500 0.500 0.000
Bi: 0.368 0.100 0.738
Bi: 0.368 0.400 0.238
Bi: 0.632 0.600 0.762
Bi: 0.632 0.900 0.262

Properties
ΔH_f (0 K): 0.5 eV/f.u.
SG: P2_1/c


Record 9
The following is a PBE-GGA calculation of a geometry-optimized SrReNO2 structure, from Alexandria via LeMat-Bulk.

a = 4.002 Å, b = 4.002 Å, c = 3.932 Å
α = 90.00°, β = 90.00°, γ = 90.00°
Fractional positions:
Sr: 0.000 0.000 0.000
Re: 0.500 0.500 0.500
N: 0.500 0.500 0.000
O: 0.000 0.500 0.500
O: 0.500 0.000 0.500

Properties
E_form (uncorrected): -7.67 eV per formula unit
SG: P4/mmm


Record 10
The following is a PBE-GGA calculation of a geometry-optimized P5C structure, from Alexandria via LeMat-Bulk.

a = 4.576 Å, b = 5.499 Å, c = 5.499 Å
α = 34.63°, β = 90.00°, γ = 90.00°
Fractional positions:
P: 0.000 0.000 0.000
P: 0.000 0.323 0.323
P: 0.500 0.304 0.304
P: 0.500 0.636 0.636
P: 0.500 0.979 0.979
C: 0.000 0.610 0.610

Properties
ΔH_f (0 K): 4.1 eV/f.u.
SG: Amm2
relative energy among the computed polymorphs: 0.3575 eV per atom


Record 11
The following is a PBE-GGA calculation of a geometry-optimized SmCu3Sn3 structure, from Alexandria via LeMat-Bulk.

a = 7.071 Å, b = 7.071 Å, c = 7.071 Å
α = 90.00°, β = 90.00°, γ = 90.00°
Fractional positions:
Sm: 0.000 0.000 0.000
Sm: 0.500 0.500 0.500
Cu: 0.000 0.250 0.500
Cu: 0.000 0.750 0.500
Cu: 0.250 0.500 0.000
Cu: 0.500 0.000 0.250
Cu: 0.500 0.000 0.750
Cu: 0.750 0.500 0.000
Sn: 0.000 0.500 0.250
Sn: 0.000 0.500 0.750
Sn: 0.250 0.000 0.500
Sn: 0.500 0.250 0.000
Sn: 0.500 0.750 0.000
Sn: 0.750 0.000 0.500

Properties
ΔH_f (0 K): 1.4 eV/f.u.
SG: Pm-3n
relative energy among the computed polymorphs: 0.2873 eV per atom


Record 12
The following is a PBE-GGA calculation of a geometry-optimized AlSbTe2 structure, from Alexandria via LeMat-Bulk.

a = 3.679 Å, b = 3.679 Å, c = 7.558 Å
α = 90.00°, β = 90.00°, γ = 90.00°
Fractional positions:
Al: 0.000 0.000 0.000
Sb: 0.000 0.000 0.500
Te: 0.500 0.500 0.229
Te: 0.500 0.500 0.771

Properties
E_form (uncorrected): 0.70 eV per formula unit
SG: P4/mmm
relative energy among the computed polymorphs: 0.2603 eV per atom